Density functional theory data (GGA-PBE) for a relaxed MgScHg2 crystal.

Structure (POSCAR):
```
MgScHg2
1.0
3.4850 0.0000 0.0000
0.0000 4.8914 0.0000
0.0000 0.0000 10.4271
Mg Sc Hg
2 2 4
direct
0.0000 0.0000 0.0000
0.5000 0.5000 0.5000
0.0000 0.5000 0.7670
0.5000 0.0000 0.2670
0.0000 0.0000 0.5012
0.0000 0.5000 0.2469
0.5000 0.0000 0.7469
0.5000 0.5000 0.0012
```

Summary:
Total DFT energy (no corrections) (eV per cell): -18.862
V (Å³ per cell): 177.75
Symmetry: No. 44


Density functional theory data (GGA-PBE) for a relaxed TbPrO3 crystal.

Structure (POSCAR):
```
TbPrO3
1.0
2.9895 -6.5613 0.0000
2.9895 6.5613 0.0000
0.0000 0.0000 4.1631
Tb Pr O
2 2 6
direct
0.1188 0.8812 0.0000
0.8812 0.1188 0.0000
0.3380 0.6620 0.5000
0.6620 0.3380 0.5000
0.0000 0.5000 0.0000
0.1679 0.8321 0.5000
0.2684 0.2684 0.0000
0.5000 0.0000 0.0000
0.7316 0.7316 0.0000
0.8321 0.1679 0.5000
```

Summary:
Total DFT energy (no corrections) (eV per cell): -78.225
E_form (uncorrected) (eV per atom): -2.97
V (Å³ per cell): 163.32
Symmetry: No. 65


Density functional theory data (GGA-PBE) for a relaxed BeTl3Bi crystal.

Structure (POSCAR):
```
BeTl3Bi
1.0
5.1507 0.0000 0.0000
0.0000 5.1507 0.0000
0.0000 0.0000 5.1507
Be Tl Bi
1 3 1
direct
0.0000 0.0000 0.0000
0.0000 0.0000 0.5000
0.0000 0.5000 0.0000
0.5000 0.0000 0.0000
0.5000 0.5000 0.5000
```

Summary:
Total DFT energy (no corrections) (eV per cell): -13.155
V (Å³ per cell): 136.65
Symmetry: No. 221
Distance to the lowest polymorph of the same formula (eV per atom): 0.0000


Density functional theory data (GGA-PBE) for a relaxed Na3CeY2S6 crystal.

Structure (POSCAR):
```
Na3CeY2S6
1.0
3.5002 -6.0642 0.0000
3.5002 6.0642 0.0000
-2.3328 0.0000 6.6752
Na Ce Y S
3 1 2 6
direct
0.0000 0.0000 0.0000
0.3331 0.6669 0.0000
0.6669 0.3331 0.0000
0.5000 0.5000 0.5000
0.1667 0.8333 0.5000
0.8333 0.1667 0.5000
0.0830 0.4238 0.2714
0.2356 0.2356 0.7295
0.4238 0.0830 0.2714
0.5762 0.9170 0.7286
0.7644 0.7644 0.2705
0.9170 0.5762 0.7286
```

Summary:
Total DFT energy (no corrections) (eV per cell): -69.275
E_form (uncorrected) (eV per atom): -1.81
V (Å³ per cell): 283.38
Symmetry: No. 12


Density functional theory data (GGA-PBE) for a relaxed YCuP3 crystal.

Structure (POSCAR):
```
YCuP3
1.0
5.2293 0.0000 0.0000
0.0000 5.2293 0.0000
0.0000 0.0000 5.2293
Y Cu P
1 1 3
direct
0.0000 0.0000 0.0000
0.5000 0.5000 0.5000
0.0000 0.0000 0.5000
0.0000 0.5000 0.0000
0.5000 0.0000 0.0000
```

Summary:
Total DFT energy (no corrections) (eV per cell): -21.743
V (Å³ per cell): 143.00
Symmetry: No. 221
Distance to the lowest polymorph of the same formula (eV per atom): 1.0023


Density functional theory data (GGA-PBE) for a relaxed AlSbOs2 crystal.

Structure (POSCAR):
```
AlSbOs2
1.0
2.9062 0.0000 0.0000
0.0000 2.9062 0.0000
0.0000 0.0000 8.0827
Al Sb Os
1 1 2
direct
0.0000 0.0000 0.0000
0.5000 0.5000 0.6923
0.0000 0.0000 0.4196
0.5000 0.5000 0.2143
```

Summary:
Total DFT energy (no corrections) (eV per cell): -29.483
E_form (uncorrected) (eV per atom): 0.21
V (Å³ per cell): 68.27
Symmetry: No. 99
Distance to the lowest polymorph of the same formula (eV per atom): 0.1374


Density functional theory data (GGA-PBE) for a relaxed AcNp2Si6 crystal.

Structure (POSCAR):
```
AcNp2Si6
1.0
7.1193 0.0000 0.0000
-3.5597 6.1655 0.0000
0.0000 0.0000 4.1122
Ac Np Si
1 2 6
direct
0.0000 0.0000 0.0000
0.3333 0.6667 0.0000
0.6667 0.3333 0.0000
0.0000 0.3396 0.5000
0.0000 0.6604 0.5000
0.3396 0.0000 0.5000
0.3396 0.3396 0.5000
0.6604 0.0000 0.5000
0.6604 0.6604 0.5000
```

Summary:
Total DFT energy (no corrections) (eV per cell): -64.979
E_form (uncorrected) (eV per atom): -0.27
V (Å³ per cell): 180.50
Symmetry: No. 191


Density functional theory data (GGA-PBE) for a relaxed DyZnPtRh crystal.

Structure (POSCAR):
```
DyZnPtRh
1.0
6.5265 0.0000 0.0000
0.0000 6.5265 0.0000
0.0000 0.0000 6.5265
Dy Zn Pt Rh
4 4 4 4
direct
0.0000 0.0000 0.0000
0.0000 0.5000 0.5000
0.5000 0.0000 0.5000
0.5000 0.5000 0.0000
0.0000 0.0000 0.5000
0.0000 0.5000 0.0000
0.5000 0.0000 0.0000
0.5000 0.5000 0.5000
0.2500 0.2500 0.7500
0.2500 0.7500 0.2500
0.7500 0.2500 0.2500
0.7500 0.7500 0.7500
0.2500 0.2500 0.2500
0.2500 0.7500 0.7500
0.7500 0.2500 0.7500
0.7500 0.7500 0.2500
```

Summary:
Total DFT energy (no corrections) (eV per cell): -89.292
V (Å³ per cell): 278.00
Symmetry: No. 216
Distance to the lowest polymorph of the same formula (eV per atom): 0.0548


Density functional theory data (GGA-PBE) for a relaxed Ce4MgSn crystal.

Structure (POSCAR):
```
Ce4MgSn
1.0
8.0055 0.0000 0.0000
0.0000 9.4821 0.0000
-3.4486 0.0000 3.9793
Ce Mg Sn
8 2 2
direct
0.2492 0.1780 0.2756
0.2492 0.8220 0.2756
0.2508 0.3220 0.7244
0.2508 0.6780 0.7244
0.7492 0.3220 0.2756
0.7492 0.6780 0.2756
0.7508 0.1780 0.7244
0.7508 0.8220 0.7244
0.0000 0.5000 0.0000
0.5000 0.0000 0.0000
0.0000 0.0000 0.5000
0.5000 0.5000 0.5000
```

Summary:
Total DFT energy (no corrections) (eV per cell): -61.005
V (Å³ per cell): 302.06
Symmetry: No. 12


Density functional theory data (GGA-PBE) for a relaxed Th2Ni4Ge3Ru crystal.

Structure (POSCAR):
```
Th2Ni4Ge3Ru
1.0
4.0918 0.0000 0.0000
0.0000 4.0918 0.0000
0.0000 0.0000 10.0465
Th Ni Ge Ru
2 4 3 1
direct
0.0000 0.5000 0.2490
0.5000 0.0000 0.7510
0.0000 0.0000 0.0000
0.0000 0.5000 0.6388
0.5000 0.0000 0.3612
0.5000 0.5000 0.0000
0.0000 0.5000 0.8764
0.5000 0.0000 0.1236
0.5000 0.5000 0.5000
0.0000 0.0000 0.5000
```

Summary:
Total DFT energy (no corrections) (eV per cell): -66.783
V (Å³ per cell): 168.21
Symmetry: No. 115


Density functional theory data (GGA-PBE) for a relaxed Ce2ThRh crystal.

Structure (POSCAR):
```
Ce2ThRh
1.0
4.8612 0.0000 0.0000
-2.4306 4.2100 0.0000
0.0000 0.0000 14.2845
Ce Th Rh
6 3 3
direct
0.0000 0.0000 0.2411
0.0000 0.0000 0.7589
0.3333 0.6667 0.4256
0.3333 0.6667 0.9077
0.6667 0.3333 0.0923
0.6667 0.3333 0.5744
0.0000 0.0000 0.0000
0.3333 0.6667 0.6667
0.6667 0.3333 0.3333
0.0000 0.0000 0.5000
0.3333 0.6667 0.1667
0.6667 0.3333 0.8333
```

Summary:
Total DFT energy (no corrections) (eV per cell): -80.313
V (Å³ per cell): 292.34
Symmetry: No. 166
Distance to the lowest polymorph of the same formula (eV per atom): 0.3678


Density functional theory data (GGA-PBE) for a relaxed TaOs2Pt crystal.

Structure (POSCAR):
```
TaOs2Pt
1.0
2.7849 0.0000 0.0000
0.0000 2.7849 0.0000
0.0000 0.0000 8.0353
Ta Os Pt
1 2 1
direct
0.0000 0.0000 0.0000
0.0000 0.0000 0.4835
0.5000 0.5000 0.2672
0.5000 0.5000 0.7463
```

Summary:
Total DFT energy (no corrections) (eV per cell): -41.103
V (Å³ per cell): 62.32
Symmetry: No. 99
Distance to the lowest polymorph of the same formula (eV per atom): 0.1746


no.,total magnetization (μB/atom)
1,0.00
2,0.00
3,0.00
4,0.08
5,0.00
6,0.00
7,0.87
8,0.00
9,0.18
10,0.09
11,0.21
12,0.00